# 1
OsPtCl2: optimized geometry, GGA-PBE.

a = 2.929 Å, b = 2.929 Å, c = 7.932 Å
α = 90.00°, β = 90.00°, γ = 90.00°
Fractional positions:
Os 0.000 0.000 0.000
Pt 0.000 0.000 0.500
Cl 0.500 0.500 0.199
Cl 0.500 0.500 0.801

uncorrected formation energy: 1255 meV per atom
energy above the lowest structure with this stoichiometry: 1109 meV/atom
theoretical density: 11.13 g cm⁻³
size of the total moment: 0.0 μB/f.u.

# 2
Os2PtCl: optimized geometry, GGA-PBE.

a = 2.824 Å, b = 2.824 Å, c = 8.471 Å
α = 90.00°, β = 90.00°, γ = 90.00°
Fractional positions:
Os 0.000 0.000 0.000
Os 0.500 0.500 0.197
Pt 0.000 0.000 0.426
Cl 0.500 0.500 0.787

uncorrected formation energy: 420 meV per atom
energy above the lowest structure with this stoichiometry: 31 meV/atom
theoretical density: 15.02 g cm⁻³
size of the total moment: 0.0 μB/f.u.

Look up the theoretical density of the first one.
11.13 g cm⁻³

Which formula does entry 2 have?
Os2PtCl